No. 1
Ba2TcMo PBE relaxed; V = 29.69 A^3/atom; calculated total energy = -18.97 eV/cell; total moment = 5.515 μB/cell; offset from the most stable computed form = 1086 meV per atom
1.0
-2.8687 3.5128 -3.5981
-4.2491 -2.7904 2.7702
-0.0344 2.5892 2.5552
Ba Mo Tc
2 1 1
Direct
0.0000 0.0000 0.0000
0.5000 0.5000 0.0000
0.5000 0.0000 0.5000
0.0000 0.5000 0.5000



No. 2
BaTcMo PBE relaxed; V = 24.74 A^3/atom; calculated total energy = -21.13 eV/cell; total moment = 0.000 μB/cell; offset from the most stable computed form = 0 meV per atom
1.0
6.7670 0.0775 -0.0111
4.9797 4.5827 0.0111
-5.8679 -2.3440 2.4234
Ba Mo Tc
1 1 1
Direct
0.0011 0.0011 0.0000
0.2783 0.2783 0.0000
0.7206 0.7206 0.0000



No. 3
Ba2TcMo PBE relaxed; V = 25.61 A^3/atom; calculated total energy = -19.11 eV/cell; total moment = 0.000 μB/cell; offset from the most stable computed form = 1050 meV per atom
1.0
6.3329 0.0206 -0.0149
-2.9163 6.1148 -0.0008
0.0037 1.5085 2.6392
Ba Mo Tc
2 1 1
Direct
0.0000 0.0000 0.0000
0.0000 0.5000 0.5000
0.5000 0.5000 0.0000
0.5000 0.0000 0.5000



No. 4
BaTc3Mo PBE relaxed; V = 22.99 A^3/atom; calculated total energy = -37.53 eV/cell; total moment = 2.567 μB/cell; offset from the most stable computed form = 0 meV per atom
1.0
4.8622 0.0000 0.0000
0.0000 4.8622 0.0000
0.0000 0.0000 4.8622
Mo Ba Tc
1 1 3
Direct
0.0000 0.0000 0.0000
0.5000 0.5000 0.5000
0.0000 0.5000 0.0000
0.0000 0.0000 0.5000
0.5000 0.0000 0.0000



No. 5
Ba2Tc2Mo PBE relaxed; V = 26.01 A^3/atom; calculated total energy = -26.04 eV/cell; total moment = 0.000 μB/cell; offset from the most stable computed form = 1149 meV per atom
1.0
4.2114 0.0000 0.0000
0.0000 4.2114 0.0000
2.1057 2.1057 7.3324
Mo Ba Tc
1 2 2
Direct
0.0000 0.0000 0.0000
0.7500 0.2500 0.5000
0.2500 0.7500 0.5000
0.4285 0.4285 0.1430
0.5715 0.5715 0.8570



No. 6
Ba2TcMo PBE relaxed; V = 29.42 A^3/atom; calculated total energy = -19.01 eV/cell; total moment = 5.350 μB/cell; offset from the most stable computed form = 1076 meV per atom
1.0
-0.8452 -0.3122 5.7301
-1.0189 -5.6387 0.9015
4.4506 2.4178 -2.8272
Ba Mo Tc
2 1 1
Direct
0.0000 0.0000 0.0000
0.5000 0.5000 0.0000
0.2500 0.7500 0.5000
0.7500 0.2500 0.5000



No. 7
Ba2TcMo PBE relaxed; V = 25.47 A^3/atom; calculated total energy = -19.43 eV/cell; total moment = 0.003 μB/cell; offset from the most stable computed form = 972 meV per atom
1.0
5.2361 0.1034 0.0000
-0.1375 5.2353 0.0000
-2.5493 -2.6693 3.7152
Ba Mo Tc
2 1 1
Direct
0.0000 0.0000 0.0000
0.2500 0.7500 0.5000
0.5000 0.5000 0.0000
0.7500 0.2500 0.5000



No. 8
BaTc4Mo PBE relaxed; V = 18.23 A^3/atom; calculated total energy = -49.00 eV/cell; total moment = 0.000 μB/cell
1.0
-3.6565 -1.7496 3.5188
-5.1925 -0.1103 -1.3563
-2.4647 -4.7003 -0.8040
Ba Tc Mo
1 4 1
Direct
0.7500 0.7500 0.7500
0.8778 0.3741 0.3741
0.3741 0.3741 0.8778
0.3741 0.8778 0.3741
0.3741 0.3741 0.3741
0.0000 0.0000 0.0000



No. 9
Ba2TcMo PBE relaxed; V = 31.34 A^3/atom; calculated total energy = -22.71 eV/cell; total moment = 0.469 μB/cell; offset from the most stable computed form = 151 meV per atom
1.0
-1.2849 0.4543 -3.2551
2.4592 -2.1857 -1.2758
-6.2201 -7.7964 1.3671
Ba Mo Tc
2 1 1
Direct
0.0000 0.0000 0.9223
0.5000 0.5000 0.3267
0.0000 0.0000 0.5961
0.5000 0.5000 0.6549



No. 10
Ba2TcMo PBE relaxed; V = 43.55 A^3/atom; calculated total energy = -41.75 eV/cell; total moment = 3.564 μB/cell; offset from the most stable computed form = 609 meV per atom
1.0
12.2912 0.0000 0.0000
0.0000 12.2912 0.0000
6.1456 6.1456 2.3061
Mo Ba Tc
2 4 2
Direct
0.5000 0.5000 0.0000
0.2500 0.7500 0.5000
0.8056 0.1250 0.2500
0.9444 0.6250 0.2500
0.3750 0.1944 0.7500
0.8750 0.0556 0.7500
0.0000 0.0000 0.0000
0.7500 0.2500 0.5000



No. 11
Ba4TcMo PBE relaxed; V = 40.53 A^3/atom; calculated total energy = -18.91 eV/cell; total moment = 6.848 μB/cell
1.0
-2.4188 -1.5025 6.4012
0.2004 4.8531 5.0488
-5.9409 2.9329 2.2775
Ba Tc Mo
4 1 1
Direct
0.8760 0.3747 0.3747
0.3747 0.3747 0.8760
0.3747 0.8760 0.3747
0.3747 0.3747 0.3747
0.0000 0.0000 0.0000
0.7500 0.7500 0.7500



No. 12
BaZrTc2Mo PBE relaxed; V = 24.41 A^3/atom; calculated total energy = -34.33 eV/cell; total moment = 0.000 μB/cell
1.0
-4.5445 0.6105 1.3412
1.1008 -2.2184 4.7399
1.0975 4.3039 1.7595
Mo Ba Zr Tc
1 1 1 2
Direct
0.0000 0.0000 0.0000
0.0000 0.5000 0.0000
0.5000 0.5000 0.5000
0.0000 0.0000 0.5000
0.5000 0.0000 0.0000



Density / Mg/m³: 6.55; 7.41; 7.60; 7.62; 7.23; 6.61; 7.64; 9.49; 6.21; 4.47; 5.08; 7.08